[1]
SCAN Zr2ZnGaIr, PBEsol geometry; mass density = 8.18 g/cm³; Fermi-level density of states = 0.754 states/eV per atom; VASP energy = -160.2 eV/f.u.; magnetic moment = 0.00 μB per cell; energy of formation = 431 meV per atom; symmetry = P4/mmm
1.0
4.8099 0.0000 0.0000
0.0000 4.8099 0.0000
0.0000 0.0000 4.4706
Zr Zn Ga Ir
2 1 1 1
direct
0.0000 0.5000 0.0000 Zr
0.5000 0.0000 0.0000 Zr
0.0000 0.0000 0.0000 Zn
0.5000 0.5000 0.5000 Ga
0.0000 0.0000 0.5000 Ir

=====

[2]
SCAN ZrGa4Ir, PBEsol geometry; mass density = 9.37 g/cm³; Fermi-level density of states = 0.355 states/eV per atom; VASP energy = -170.5 eV/f.u.; magnetic moment = 0.00 μB per cell; energy of formation = -559 meV per atom; symmetry = Cmcm
1.0
2.0569 -7.4416 0.0000
2.0569 7.4416 0.0000
0.0000 0.0000 6.5085
Zr Ga Ir
2 8 2
direct
0.1293 0.8707 0.7500 Zr
0.8707 0.1293 0.2500 Zr
0.0542 0.9458 0.2500 Ga
0.3237 0.6763 0.5447 Ga
0.3237 0.6763 0.9553 Ga
0.5000 0.5000 0.0000 Ga
0.5000 0.5000 0.5000 Ga
0.6763 0.3237 0.0447 Ga
0.6763 0.3237 0.4553 Ga
0.9458 0.0542 0.7500 Ga
0.2180 0.7820 0.2500 Ir
0.7820 0.2180 0.7500 Ir

=====

[3]
SCAN Zr2GaIr2, PBEsol geometry; mass density = 11.97 g/cm³; Fermi-level density of states = 0.742 states/eV per atom; VASP energy = -225.0 eV/f.u.; magnetic moment = 0.00 μB per cell; energy of formation = -1014 meV per atom; symmetry = Immm
1.0
4.1397 0.0000 0.0000
0.0000 5.5266 0.0000
0.0000 0.0000 7.7216
Zr Ga Ir
4 2 4
direct
0.0000 0.0000 0.1983 Zr
0.0000 0.0000 0.8017 Zr
0.5000 0.5000 0.3017 Zr
0.5000 0.5000 0.6983 Zr
0.0000 0.5000 0.0000 Ga
0.5000 0.0000 0.5000 Ga
0.0000 0.2624 0.5000 Ir
0.0000 0.7376 0.5000 Ir
0.5000 0.2376 0.0000 Ir
0.5000 0.7624 0.0000 Ir

=====

[4]
SCAN Zr6Ga16Ir7, PBEsol geometry; mass density = 10.80 g/cm³; Fermi-level density of states = 0.571 states/eV per atom; VASP energy = -965.3 eV/f.u.; magnetic moment = 0.00 μB per cell; energy of formation = -754 meV per atom; symmetry = Fm-3m
1.0
0.0000 6.1377 6.1377
6.1377 0.0000 6.1377
6.1377 6.1377 0.0000
Zr Ga Ir
6 16 7
direct
0.1957 0.1957 0.8043 Zr
0.1957 0.8043 0.1957 Zr
0.1957 0.8043 0.8043 Zr
0.8043 0.1957 0.1957 Zr
0.8043 0.1957 0.8043 Zr
0.8043 0.8043 0.1957 Zr
0.1333 0.6222 0.6222 Ga
0.1552 0.1552 0.1552 Ga
0.1552 0.1552 0.5343 Ga
0.1552 0.5343 0.1552 Ga
0.3778 0.3778 0.3778 Ga
0.3778 0.3778 0.8667 Ga
0.3778 0.8667 0.3778 Ga
0.4657 0.8448 0.8448 Ga
0.5343 0.1552 0.1552 Ga
0.6222 0.1333 0.6222 Ga
0.6222 0.6222 0.1333 Ga
0.6222 0.6222 0.6222 Ga
0.8448 0.4657 0.8448 Ga
0.8448 0.8448 0.4657 Ga
0.8448 0.8448 0.8448 Ga
0.8667 0.3778 0.3778 Ga
0.0000 0.0000 0.5000 Ir
0.0000 0.5000 0.0000 Ir
0.0000 0.5000 0.5000 Ir
0.5000 0.0000 0.0000 Ir
0.5000 0.0000 0.5000 Ir
0.5000 0.5000 0.0000 Ir
0.5000 0.5000 0.5000 Ir

=====

[5]
SCAN KLa3Ga, PBEsol geometry; mass density = 4.26 g/cm³; Fermi-level density of states = 1.308 states/eV per atom; VASP energy = -153.4 eV/f.u.; magnetic moment = 0.11 μB per cell; energy of formation = 112 meV per atom; symmetry = Pm-3m
1.0
5.8930 0.0000 0.0000
0.0000 5.8930 0.0000
0.0000 0.0000 5.8930
K La Ga
1 3 1
direct
0.0000 0.0000 0.0000 K
0.0000 0.5000 0.5000 La
0.5000 0.0000 0.5000 La
0.5000 0.5000 0.0000 La
0.5000 0.5000 0.5000 Ga

=====

[6]
SCAN KLi3Ga, PBEsol geometry; mass density = 1.58 g/cm³; Fermi-level density of states = 0.325 states/eV per atom; VASP energy = -31.9 eV/f.u.; magnetic moment = 0.98 μB per cell; energy of formation = -20 meV per atom; symmetry = Pm-3m
1.0
5.1465 0.0000 0.0000
0.0000 5.1465 0.0000
0.0000 0.0000 5.1465
K Li Ga
1 3 1
direct
0.0000 0.0000 0.0000 K
0.0000 0.5000 0.5000 Li
0.5000 0.0000 0.5000 Li
0.5000 0.5000 0.0000 Li
0.5000 0.5000 0.5000 Ga

=====

[7]
SCAN K2MgGa, PBEsol geometry; mass density = 1.98 g/cm³; Fermi-level density of states = 1.228 states/eV per atom; VASP energy = -36.7 eV/f.u.; magnetic moment = 0.06 μB per cell; energy of formation = 317 meV per atom; symmetry = Fm-3m
1.0
8.3290 0.0000 0.0000
0.0000 8.3290 0.0000
0.0000 0.0000 8.3290
K Mg Ga
8 4 4
direct
0.2500 0.2500 0.2500 K
0.2500 0.2500 0.7500 K
0.2500 0.7500 0.2500 K
0.2500 0.7500 0.7500 K
0.7500 0.2500 0.2500 K
0.7500 0.2500 0.7500 K
0.7500 0.7500 0.2500 K
0.7500 0.7500 0.7500 K
0.0000 0.0000 0.0000 Mg
0.0000 0.5000 0.5000 Mg
0.5000 0.0000 0.5000 Mg
0.5000 0.5000 0.0000 Mg
0.0000 0.0000 0.5000 Ga
0.0000 0.5000 0.0000 Ga
0.5000 0.0000 0.0000 Ga
0.5000 0.5000 0.5000 Ga

=====

[8]
SCAN KMg3Ga, PBEsol geometry; mass density = 1.42 g/cm³; Fermi-level density of states = 0.932 states/eV per atom; VASP energy = -33.4 eV/f.u.; magnetic moment = 0.00 μB per cell; energy of formation = 1237 meV per atom; symmetry = Pm-3m
1.0
5.9671 0.0000 0.0000
0.0000 5.9671 0.0000
0.0000 0.0000 5.9671
K Mg Ga
1 3 1
direct
0.0000 0.0000 0.0000 K
0.0000 0.0000 0.5000 Mg
0.0000 0.5000 0.0000 Mg
0.5000 0.0000 0.0000 Mg
0.5000 0.5000 0.5000 Ga